# Li2CrCdF6 | Alexandria via LeMat-Bulk | PBE+U | relaxed
# M_tot: 4.0 μB per formula unit
# Fermi-level density of states: 0.0000 states/eV/atom
# crystal system: monoclinic
# E_tot: -4.924 eV per atom
data_Li2CrCdF6
_symmetry_space_group_name_H-M 'P 1'
_symmetry_Int_Tables_number 1
_cell_length_a 5.372
_cell_length_b 5.438
_cell_length_c 9.820
_cell_angle_alpha 90.00
_cell_angle_beta 121.06
_cell_angle_gamma 90.00
loop_
_symmetry_equiv_pos_as_xyz
'x,y,z'
loop_
_atom_site_label
_atom_site_fract_x
_atom_site_fract_y
_atom_site_fract_z
_atom_site_occupancy
Li1 0.231 0.008 0.255 1
Li2 0.231 0.492 0.755 1
Li3 0.769 0.508 0.245 1
Li4 0.769 0.992 0.745 1
Cr1 0.500 0.000 0.000 1
Cr2 0.500 0.500 0.500 1
Cd1 0.000 0.000 0.500 1
Cd2 0.000 0.500 0.000 1
F1 0.090 0.150 0.740 1
F2 0.090 0.350 0.240 1
F3 0.262 0.649 0.588 1
F4 0.262 0.851 0.088 1
F5 0.438 0.174 0.576 1
F6 0.438 0.326 0.076 1
F7 0.562 0.674 0.924 1
F8 0.562 0.826 0.424 1
F9 0.738 0.149 0.912 1
F10 0.738 0.351 0.412 1
F11 0.910 0.650 0.760 1
F12 0.910 0.850 0.260 1